No. 1
# Cs2Tl4Au

A relaxed Cs2Tl4Au crystal (PBE-GGA, Alexandria).

Values from the calculation:
Energy of formation: 0.03 eV per atom

a = 11.0038 Å, b = 11.0038 Å, c = 11.0038 Å
α = 150.37°, β = 150.37°, γ = 42.40°
Last column: nearest neighbours and their distance in Å.
Positions (direct):
Cs  0.1614  0.1614  0.0000  9 Tl 4.00-4.35
Cs  0.8386  0.8386  0.0000  9 Tl 4.00-4.35
Tl  0.0000  0.5000  0.5000  2 Au 2.81
Tl  0.3607  0.3607  0.0000  1 Au 2.86
Tl  0.5000  0.0000  0.5000  2 Au 2.81
Tl  0.6393  0.6393  0.0000  1 Au 2.86
Au  0.5000  0.5000  0.0000  6 Tl 2.81-2.86



No. 2
# Cs3Tl3Au2

A relaxed Cs3Tl3Au2 crystal (PBE-GGA, Alexandria).

Values from the calculation:
Energy of formation: -0.13 eV per atom

a = 10.0302 Å, b = 18.9013 Å, c = 7.1212 Å
α = 90.00°, β = 90.00°, γ = 90.00°
Last column: nearest neighbours and their distance in Å.
Positions (direct):
Cs  0.0429  0.1089  0.0540  3 Au 3.75-3.89, 6 Tl 3.87-4.15
Cs  0.0429  0.3911  0.0540  3 Au 3.75-3.89, 6 Tl 3.87-4.15
Cs  0.2067  0.2500  0.6144  4 Au 3.82-4.09, 5 Tl 3.86-4.27
Cs  0.2933  0.7500  0.1144  4 Au 3.82-4.09, 5 Tl 3.86-4.27
Cs  0.4571  0.6089  0.5540  3 Au 3.75-3.89, 6 Tl 3.87-4.15
Cs  0.4571  0.8911  0.5540  3 Au 3.75-3.89, 6 Tl 3.87-4.15
Cs  0.5429  0.1089  0.4460  3 Au 3.75-3.89, 6 Tl 3.87-4.15
Cs  0.5429  0.3911  0.4460  3 Au 3.75-3.89, 6 Tl 3.87-4.15
Cs  0.7067  0.2500  0.8856  4 Au 3.82-4.09, 5 Tl 3.86-4.27
Cs  0.7933  0.7500  0.3856  4 Au 3.82-4.09, 5 Tl 3.86-4.27
Cs  0.9571  0.6089  0.9460  3 Au 3.75-3.89, 6 Tl 3.87-4.15
Cs  0.9571  0.8911  0.9460  3 Au 3.75-3.89, 6 Tl 3.87-4.15
Tl  0.1452  0.7500  0.6147  2 Au 2.87
Tl  0.1681  0.0265  0.5431  2 Au 2.94-2.99
Tl  0.1681  0.4735  0.5431  2 Au 2.94-2.99
Tl  0.3319  0.5265  0.0431  2 Au 2.94-2.99
Tl  0.3319  0.9735  0.0431  2 Au 2.94-2.99
Tl  0.3548  0.2500  0.1147  2 Au 2.87
Tl  0.6452  0.7500  0.8853  2 Au 2.87
Tl  0.6681  0.0265  0.9569  2 Au 2.94-2.99
Tl  0.6681  0.4735  0.9569  2 Au 2.94-2.99
Tl  0.8319  0.5265  0.4569  2 Au 2.94-2.99
Tl  0.8319  0.9735  0.4569  2 Au 2.94-2.99
Tl  0.8548  0.2500  0.3853  2 Au 2.87
Au  0.0765  0.6168  0.4475  3 Tl 2.87-2.99
Au  0.0765  0.8832  0.4475  3 Tl 2.87-2.99
Au  0.4235  0.1168  0.9475  3 Tl 2.87-2.99
Au  0.4235  0.3832  0.9475  3 Tl 2.87-2.99
Au  0.5765  0.6168  0.0525  3 Tl 2.87-2.99
Au  0.5765  0.8832  0.0525  3 Tl 2.87-2.99
Au  0.9235  0.1168  0.5525  3 Tl 2.87-2.99
Au  0.9235  0.3832  0.5525  3 Tl 2.87-2.99



No. 3
# Cs2TlAu2

A relaxed Cs2TlAu2 crystal (PBE-GGA, Alexandria).

Values from the calculation:
Energy of formation: 0.08 eV per atom

a = 8.2201 Å, b = 8.2201 Å, c = 8.2201 Å
α = 140.53°, β = 140.53°, γ = 57.05°
Last column: nearest neighbours and their distance in Å.
Positions (direct):
Cs  0.2500  0.7500  0.5000  4 Au 3.55, 4 Cs 3.93
Cs  0.7500  0.2500  0.5000  4 Au 3.55, 4 Cs 3.93
Tl  0.0000  0.0000  0.0000  8 Au 4.17, 8 Cs 4.55
Au  0.4034  0.4034  0.0000  1 Au 2.79
Au  0.5966  0.5966  0.0000  1 Au 2.79



No. 4
# CsTl6Au2

A relaxed CsTl6Au2 crystal (PBE-GGA, Alexandria).

Values from the calculation:
Energy of formation: -0.09 eV per atom

a = 5.2444 Å, b = 5.2444 Å, c = 10.3674 Å
α = 90.00°, β = 90.00°, γ = 90.00°
Last column: nearest neighbours and their distance in Å.
Positions (direct):
Cs  0.0000  0.0000  0.0000  8 Au 3.96, 8 Tl 3.98
Tl  0.0000  0.0000  0.5000  12 Tl 3.42-3.71
Tl  0.0000  0.5000  0.2889  2 Au 3.07, 4 Tl 3.42
Tl  0.0000  0.5000  0.7111  2 Au 3.07, 4 Tl 3.42
Tl  0.5000  0.0000  0.2889  2 Au 3.07, 4 Tl 3.42
Tl  0.5000  0.0000  0.7111  2 Au 3.07, 4 Tl 3.42
Tl  0.5000  0.5000  0.5000  12 Tl 3.42-3.71, 2 Au 3.79
Au  0.5000  0.5000  0.1340  1 Au 2.78, 4 Tl 3.07
Au  0.5000  0.5000  0.8660  1 Au 2.78, 4 Tl 3.07



No. 5
# Cs2Tl9Au3

A relaxed Cs2Tl9Au3 crystal (PBE-GGA, Alexandria).

Values from the calculation:
Energy of formation: -0.06 eV per atom

a = 9.4756 Å, b = 9.4756 Å, c = 12.8369 Å
α = 112.98°, β = 112.98°, γ = 57.40°
Last column: nearest neighbours and their distance in Å.
Positions (direct):
Cs  0.0934  0.2563  0.2432  11 Tl 3.69-3.95, 2 Au 4.01-4.11
Cs  0.2563  0.0934  0.7432  11 Tl 3.69-3.95, 2 Au 4.01-4.11
Cs  0.7437  0.9066  0.2568  11 Tl 3.69-3.95, 2 Au 4.01-4.11
Cs  0.9066  0.7437  0.7568  11 Tl 3.69-3.95, 2 Au 4.01-4.11
Tl  0.0132  0.8682  0.0830  2 Au 3.03-3.28, 2 Tl 3.35-3.39
Tl  0.1318  0.9868  0.4170  2 Au 3.03-3.28, 2 Tl 3.35-3.39
Tl  0.1957  0.3577  0.5662  3 Au 3.11-3.17, 4 Tl 3.34-3.45
Tl  0.2260  0.5781  0.2591  2 Au 3.07-3.23, 4 Tl 3.37-3.39
Tl  0.3161  0.4960  0.9663  3 Au 3.17-3.28, 3 Tl 3.28-3.35
Tl  0.3555  0.6445  0.7500  2 Au 3.12, 4 Tl 3.37-3.45
Tl  0.3577  0.1957  0.0662  3 Au 3.11-3.17, 4 Tl 3.34-3.45
Tl  0.4219  0.7740  0.2409  2 Au 3.07-3.23, 4 Tl 3.37-3.39
Tl  0.4960  0.3161  0.4663  3 Au 3.17-3.28, 3 Tl 3.28-3.35
Tl  0.5040  0.6839  0.5337  3 Au 3.17-3.28, 3 Tl 3.28-3.35
Tl  0.5781  0.2260  0.7591  2 Au 3.07-3.23, 4 Tl 3.37-3.39
Tl  0.6423  0.8043  0.9338  3 Au 3.11-3.17, 4 Tl 3.34-3.45
Tl  0.6445  0.3555  0.2500  2 Au 3.12, 4 Tl 3.37-3.45
Tl  0.6839  0.5040  0.0337  3 Au 3.17-3.28, 3 Tl 3.28-3.35
Tl  0.7740  0.4219  0.7409  2 Au 3.07-3.23, 4 Tl 3.37-3.39
Tl  0.8043  0.6423  0.4338  3 Au 3.11-3.17, 4 Tl 3.34-3.45
Tl  0.8682  0.0132  0.5830  2 Au 3.03-3.28, 2 Tl 3.35-3.39
Tl  0.9868  0.1318  0.9170  2 Au 3.03-3.28, 2 Tl 3.35-3.39
Au  0.0000  0.5000  0.0000  8 Tl 3.11-3.28
Au  0.1494  0.6671  0.4942  7 Tl 3.03-3.28
Au  0.3329  0.8506  0.0058  7 Tl 3.03-3.28
Au  0.5000  0.0000  0.5000  8 Tl 3.11-3.28
Au  0.6671  0.1494  0.9942  7 Tl 3.03-3.28
Au  0.8506  0.3329  0.5058  7 Tl 3.03-3.28



No. 6
# Cs8TlAu2

A relaxed Cs8TlAu2 crystal (PBE-GGA, Alexandria).

Values from the calculation:
Energy of formation: -0.11 eV per atom

a = 10.2286 Å, b = 10.2286 Å, c = 7.4702 Å
α = 97.15°, β = 97.15°, γ = 111.38°
Last column: nearest neighbours and their distance in Å.
Positions (direct):
Cs  0.0583  0.3262  0.5892  2 Au 3.77-3.84
Cs  0.2417  0.7583  0.0000  2 Au 3.94, 1 Tl 4.08
Cs  0.3262  0.0583  0.5892  2 Au 3.77-3.84
Cs  0.3675  0.3675  0.2061  2 Au 3.91, 1 Tl 4.18
Cs  0.6325  0.6325  0.7939  2 Au 3.91, 1 Tl 4.18
Cs  0.6738  0.9417  0.4108  2 Au 3.77-3.84
Cs  0.7583  0.2417  0.0000  2 Au 3.94, 1 Tl 4.08
Cs  0.9417  0.6738  0.4108  2 Au 3.77-3.84
Tl  0.0000  0.0000  0.0000  4 Cs 4.08-4.18
Au  0.3166  0.6834  0.5000  8 Cs 3.77-3.94
Au  0.6834  0.3166  0.5000  8 Cs 3.77-3.94



No. 7
# Cs2TlZnAu2

A relaxed Cs2TlZnAu2 crystal (PBE-GGA, Alexandria).

Values from the calculation:
Energy of formation: -0.19 eV per atom

a = 9.1262 Å, b = 9.1262 Å, c = 9.1262 Å
α = 130.95°, β = 71.60°, γ = 131.32°
Last column: nearest neighbours and their distance in Å.
Positions (direct):
Cs  0.1780  0.2277  0.4057  3 Au 3.58-3.84, 2 Zn 3.67, 2 Tl 3.84
Cs  0.3220  0.7277  0.0497  3 Au 3.58-3.84, 2 Zn 3.67, 2 Tl 3.84
Cs  0.6780  0.2723  0.9503  3 Au 3.58-3.84, 2 Zn 3.67, 2 Tl 3.84
Cs  0.8220  0.7723  0.5943  3 Au 3.58-3.84, 2 Zn 3.67, 2 Tl 3.84
Tl  0.2500  0.7500  0.5000  4 Au 2.99
Tl  0.7500  0.2500  0.5000  4 Au 2.99
Zn  0.2500  0.2500  0.0000  4 Au 2.68
Zn  0.7500  0.7500  0.0000  4 Au 2.68
Au  0.0639  0.7807  0.8445  2 Zn 2.68, 2 Tl 2.99
Au  0.4361  0.2807  0.7168  2 Zn 2.68, 2 Tl 2.99
Au  0.5639  0.7193  0.2832  2 Zn 2.68, 2 Tl 2.99
Au  0.9361  0.2193  0.1555  2 Zn 2.68, 2 Tl 2.99



No. 8
# Cs2Tl2ZnAu4

A relaxed Cs2Tl2ZnAu4 crystal (PBE-GGA, Alexandria).

Values from the calculation:
Energy of formation: -0.14 eV per atom

a = 7.2157 Å, b = 7.2157 Å, c = 6.2787 Å
α = 97.35°, β = 97.35°, γ = 60.91°
Last column: nearest neighbours and their distance in Å.
Positions (direct):
Cs  0.0982  0.0982  0.2689  8 Au 3.59-3.97, 1 Cs 3.86, 3 Tl 3.89-3.92
Cs  0.9018  0.9018  0.7311  8 Au 3.59-3.97, 1 Cs 3.86, 3 Tl 3.89-3.92
Tl  0.2995  0.2995  0.8062  4 Au 2.95-3.07
Tl  0.7005  0.7005  0.1938  4 Au 2.95-3.07
Zn  0.5000  0.5000  0.5000  4 Au 2.65
Au  0.1609  0.5581  0.2387  1 Zn 2.65, 1 Au 2.90, 1 Tl 2.95
Au  0.4419  0.8391  0.7613  1 Zn 2.65, 1 Au 2.90, 1 Tl 2.95
Au  0.5581  0.1609  0.2387  1 Zn 2.65, 1 Au 2.90, 1 Tl 2.95
Au  0.8391  0.4419  0.7613  1 Zn 2.65, 1 Au 2.90, 1 Tl 2.95



No. 9
# CsTlZnAu2

A relaxed CsTlZnAu2 crystal (PBE-GGA, Alexandria).

Values from the calculation:
Energy of formation: -0.03 eV per atom

a = 5.2555 Å, b = 5.2555 Å, c = 5.4408 Å
α = 90.00°, β = 90.00°, γ = 90.00°
Last column: nearest neighbours and their distance in Å.
Positions (direct):
Cs  0.0000  0.0000  0.0000  4 Tl 3.72, 8 Au 3.78
Tl  0.5000  0.5000  0.0000  2 Zn 2.72
Zn  0.5000  0.5000  0.5000  4 Au 2.63, 2 Tl 2.72
Au  0.0000  0.5000  0.5000  2 Zn 2.63
Au  0.5000  0.0000  0.5000  2 Zn 2.63



No. 10
# CsTlZn2Au

A relaxed CsTlZn2Au crystal (PBE-GGA, Alexandria).

Values from the calculation:
Energy of formation: 0.01 eV per atom

a = 5.1803 Å, b = 5.1803 Å, c = 5.7009 Å
α = 90.00°, β = 90.00°, γ = 90.00°
Last column: nearest neighbours and their distance in Å.
Positions (direct):
Cs  0.0000  0.0000  0.0000  4 Tl 3.66, 8 Zn 3.85
Tl  0.5000  0.5000  0.0000  2 Au 2.85
Zn  0.0000  0.5000  0.5000  2 Au 2.59
Zn  0.5000  0.0000  0.5000  2 Au 2.59
Au  0.5000  0.5000  0.5000  4 Zn 2.59, 2 Tl 2.85



No. 11
# Cs2TlZnAu

A relaxed Cs2TlZnAu crystal (PBE-GGA, Alexandria).

Values from the calculation:
Energy of formation: 0.01 eV per atom

a = 6.8755 Å, b = 6.8755 Å, c = 5.0519 Å
α = 90.00°, β = 90.00°, γ = 90.00°
Last column: nearest neighbours and their distance in Å.
Positions (direct):
Cs  0.0000  0.5000  0.0000  2 Au 3.44
Cs  0.5000  0.0000  0.0000  2 Au 3.44
Tl  0.0000  0.0000  0.5000  8 Cs 4.27
Zn  0.5000  0.5000  0.5000  2 Au 2.53
Au  0.5000  0.5000  0.0000  2 Zn 2.53



no.,E_tot (eV for the cell shown)
1,-14.259
2,-69.165
3,-10.245
4,-22.392
5,-67.446
6,-16.957
7,-26.124
8,-22.047
9,-11.212
10,-9.001
11,-8.567